DFT (PBE+U) results for a relaxed RbBe2CoF8 crystal.

abc: 4.8488 4.8488 8.6020
angles: 73.63 73.63 60.00
With the nearest neighbours (Å) after each atom.
Fractional positions:
1 F 0.7963 0.7963 0.6112  1 Be 1.50
2 F 0.9979 0.6118 0.1390  1 Be 1.59
3 F 0.3882 0.7488 0.8610  1 Be 1.59
4 F 0.7488 0.0021 0.8610  1 Be 1.59
5 F 0.2512 0.9979 0.1390  1 Be 1.59
6 F 0.6118 0.2512 0.1390  1 Be 1.59
7 F 0.2037 0.2037 0.3888  1 Be 1.50
8 F 0.0021 0.3882 0.8610  1 Be 1.59
9 Rb 0.5000 0.5000 0.5000  6 F 2.94
10 Co 0.0000 0.0000 0.0000  6 F 1.93
11 Be 0.7346 0.7346 0.7962  4 F 1.50-1.59
12 Be 0.2654 0.2654 0.2038  4 F 1.50-1.59

Its total energy is -5.063 eV/atom. The density comes out at 3.2 g/cm³. The volume comes out at 165.6 Å³ per cell. For the size of the total moment, the calculation gives 0.1644 μB/atom. The symmetry is R-3.